[1]
An optimized crystal structure of V6ZnGa. Source: Alexandria via LeMat-Bulk, functional PBE.

Structure (POSCAR):
```
V6ZnGa
1.0
4.324 0.000 0.000
0.000 2.864 4.401
0.000 -2.864 4.401
V Zn Ga
6 1 1
direct
0.000 0.000 0.000
0.000 0.489 0.978
0.000 0.978 0.489
0.500 0.262 0.262
0.500 0.280 0.772
0.500 0.772 0.280
0.500 0.786 0.786
0.000 0.474 0.474
```

Results
DFT formation energy   -0.08 eV per atom
DOS(E_F)   1.019 states/eV/atom
Total magnetic moment   0.00 μB/f.u.
Mass density   6715 kg/m³


[2]
An optimized crystal structure of Y2TaBr. Source: Alexandria via LeMat-Bulk, functional PBE.

Structure (POSCAR):
```
Y2TaBr
1.0
2.238 -2.516 0.000
2.238 2.516 0.000
0.000 0.000 8.964
Y Ta Br
2 1 1
direct
0.000 0.000 0.235
0.000 0.000 0.765
0.500 0.500 0.000
0.500 0.500 0.500
```

Results
Uncorrected formation energy   -0.25 eV/atom
E above lowest polymorph   0.033 eV/atom
DOS(E_F)   1.023 states/eV/atom
Total magnetic moment   0.00 μB/f.u.
Mass density   7218 kg/m³